## HfZr8Sc2 (PBE)

Data for a geometry-optimized HfZr8Sc2 structure.

Values from the calculation:
space-group type	C2/m, No. 12
spin magnetization	0.000	μB per formula unit
energy of formation from the pure elements	0.19	eV/atom
mass density	6.5	g cm⁻³

Unit cell a=7.849 b=7.849 c=6.022 alpha=101.37 beta=101.37 gamma=44.84
Element x y z (fractional)
Hf 0.000 0.000 0.000
Zr 0.180 0.641 0.329
Zr 0.207 0.207 0.394
Zr 0.359 0.820 0.671
Zr 0.411 0.411 0.823
Zr 0.589 0.589 0.177
Zr 0.641 0.180 0.329
Zr 0.793 0.793 0.606
Zr 0.820 0.359 0.671
Sc 0.234 0.234 0.944
Sc 0.766 0.766 0.056